(1)
# PBE Er3CI3, relaxed
# mass density: 6.80 Mg/m³
# DOS at the Fermi energy: 3.4 states/eV/f.u.
# formation energy (no corrections): -952 meV/atom
data_Er3CI3
_chemical_formula_sum 'Er18 C6 I18'
_cell_length_a 6.7044
_cell_length_b 6.7044
_cell_length_c 33.6922
_cell_angle_alpha 90.00
_cell_angle_beta 90.00
_cell_angle_gamma 120.00
_space_group_name_H-M_alt 'R -3'
_space_group_IT_number 148
_space_group_name_Hall '-R 3'
loop_
_atom_site_label
_atom_site_type_symbol
_atom_site_fract_x
_atom_site_fract_y
_atom_site_fract_z
Er1 Er 0.0000 0.3559 0.0392
C1 C 0.0000 0.0000 0.3333
I1 I 0.0000 0.3271 0.8981

---

(2)
# PBE Er2CI, relaxed
# mass density: 6.90 Mg/m³
# DOS at the Fermi energy: 1.8 states/eV/f.u.
# formation energy (no corrections): -336 meV/atom
data_Er2CI
_chemical_formula_sum 'Er4 C2 I2'
_cell_length_a 3.904
_cell_length_b 6.053
_cell_length_c 9.642
_cell_angle_alpha 90.00
_cell_angle_beta 90.06
_cell_angle_gamma 90.00
_space_group_name_H-M_alt 'P 1 21 1'
_space_group_IT_number 4
_space_group_name_Hall 'P 2yb'
loop_
_atom_site_label
_atom_site_type_symbol
_atom_site_fract_x
_atom_site_fract_y
_atom_site_fract_z
Er1 Er 0.249 0.000 0.195
Er2 Er 0.250 0.805 0.565
C1 C 0.250 0.100 0.410
I1 I 0.251 0.082 0.853

---

(3)
# PBE Er3C2I2, relaxed
# mass density: 7.37 Mg/m³
# DOS at the Fermi energy: 3.8 states/eV/f.u.
# formation energy (no corrections): -521 meV/atom
data_Er3C2I2
_chemical_formula_sum 'Er3 C2 I2'
_cell_length_a 3.640
_cell_length_b 6.285
_cell_length_c 8.108
_cell_angle_alpha 81.63
_cell_angle_beta 89.94
_cell_angle_gamma 73.23
_space_group_name_H-M_alt 'P -1'
_space_group_IT_number 2
_space_group_name_Hall '-P 1'
loop_
_atom_site_label
_atom_site_type_symbol
_atom_site_fract_x
_atom_site_fract_y
_atom_site_fract_z
Er1 Er 0.000 0.000 0.000
Er2 Er 0.229 0.543 0.819
C1 C 0.364 0.271 0.057
I1 I 0.118 0.763 0.371

---

(4)
# PBE LaErCI, relaxed
# mass density: 7.57 Mg/m³
# DOS at the Fermi energy: 2.5 states/eV/f.u.
# formation energy (no corrections): -725 meV/atom
data_LaErCI
_chemical_formula_sum 'La3 Er3 C3 I3'
_cell_length_a 3.8185
_cell_length_b 3.8185
_cell_length_c 23.2144
_cell_angle_alpha 90.00
_cell_angle_beta 90.00
_cell_angle_gamma 120.00
_space_group_name_H-M_alt 'R 3 m'
_space_group_IT_number 160
_space_group_name_Hall 'R 3 -2"'
loop_
_atom_site_label
_atom_site_type_symbol
_atom_site_fract_x
_atom_site_fract_y
_atom_site_fract_z
La1 La 0.0000 0.0000 0.0000
Er1 Er 0.0000 0.0000 0.2186
C1 C 0.0000 0.0000 0.6014
I1 I 0.0000 0.0000 0.7835

---

(5)
# PBE La2ErC2I2, relaxed
# mass density: 5.98 Mg/m³
# DOS at the Fermi energy: 1.9 states/eV/f.u.
# formation energy (no corrections): -622 meV/atom
data_La2ErC2I2
_chemical_formula_sum 'La4 Er2 C4 I4'
_cell_length_a 4.543
_cell_length_b 4.543
_cell_length_c 19.453
_cell_angle_alpha 90.00
_cell_angle_beta 90.00
_cell_angle_gamma 90.00
_space_group_name_H-M_alt 'I 4/m m m'
_space_group_IT_number 139
_space_group_name_Hall '-I 4 2'
loop_
_atom_site_label
_atom_site_type_symbol
_atom_site_fract_x
_atom_site_fract_y
_atom_site_fract_z
La1 La 0.000 0.000 0.082
Er1 Er 0.000 0.000 0.500
C1 C 0.000 0.500 0.000
I1 I 0.000 0.000 0.334

---

(6)
# PBE Pm2ErC2I2, relaxed
# mass density: 6.13 Mg/m³
# DOS at the Fermi energy: 1.7 states/eV/f.u.
# formation energy (no corrections): -511 meV/atom
data_Pm2ErC2I2
_chemical_formula_sum 'Pm4 Er2 C4 I4'
_cell_length_a 4.472
_cell_length_b 4.472
_cell_length_c 19.894
_cell_angle_alpha 90.00
_cell_angle_beta 90.00
_cell_angle_gamma 90.00
_space_group_name_H-M_alt 'I 4/m m m'
_space_group_IT_number 139
_space_group_name_Hall '-I 4 2'
loop_
_atom_site_label
_atom_site_type_symbol
_atom_site_fract_x
_atom_site_fract_y
_atom_site_fract_z
Pm1 Pm 0.000 0.000 0.078
Er1 Er 0.000 0.000 0.500
C1 C 0.000 0.500 0.000
I1 I 0.000 0.000 0.338